VASP calculation (GGA-PBE) on a relaxed structure of Ti5Zn2Sn.

Output
* energy of formation from the pure elements: -0.2307 eV per atom

Structure (POSCAR):
```
Ti5Zn2Sn
1.0
-2.021 2.021 8.220
2.021 -2.021 8.220
2.021 2.021 -8.220
Ti Zn Sn
5 2 1
direct
0.000 0.000 0.000
0.131 0.631 0.500
0.369 0.869 0.500
0.631 0.131 0.500
0.869 0.369 0.500
0.250 0.250 0.000
0.750 0.750 0.000
0.500 0.500 0.000
```


VASP calculation (GGA-PBE) on a relaxed structure of Y2SiCl.

Output
* uncorrected formation energy: -1116 meV per atom

Structure (POSCAR):
```
Y2SiCl
1.0
4.056 0.000 0.000
0.000 4.056 0.000
0.000 0.000 5.654
Y Si Cl
2 1 1
direct
0.000 0.000 0.000
0.500 0.500 0.500
0.000 0.000 0.500
0.500 0.500 0.000
```


no.,energy relative to the lowest polymorph listed for this composition (meV/atom)
1,0
2,26